The following is a PBE-GGA calculation of a relaxed CrInPt2 crystal, from the Alexandria database.

## Properties
- total energy (eV per atom) = -6.017
- V (Å³ per cell) = 64
- calculated formation energy (meV per atom) = 94

a = 9.153 Å, b = 9.153 Å, c = 9.153 Å
α = 18.01°, β = 18.01°, γ = 18.01°
Fractional coordinates of all 4 atoms:
Cr 0.000 0.000 0.000
In 0.249 0.249 0.249
Pt 0.496 0.496 0.496
Pt 0.741 0.741 0.741